Below is a relaxed structure of H8W3SeN2O12, with properties calculated at the GGA+U level.

Values from the calculation:
**SG**: P6_3mc (186)
**Magnetic moment**: 0.000 μB per cell
**DOS(E_F)**: 0.0000 states/eV per atom
**Final energy**: -161.39 eV per formula unit
**ρ**: 4.85 Mg/m³
**Crystal system**: hexagonal

a b c (Å): 7.347 7.347 12.573
angles (deg): 90.00 90.00 120.00
Sites, in units of the cell vectors:
1 H 0.180 0.590 0.000
2 H 0.256 0.512 0.613
3 H 0.256 0.744 0.613
4 H 0.333 0.667 0.111
5 H 0.333 0.667 0.722
6 H 0.410 0.590 0.000
7 H 0.410 0.820 0.000
8 H 0.488 0.744 0.613
9 H 0.512 0.256 0.113
10 H 0.590 0.180 0.500
11 H 0.590 0.410 0.500
12 H 0.667 0.333 0.222
13 H 0.667 0.333 0.611
14 H 0.744 0.256 0.113
15 H 0.744 0.488 0.113
16 H 0.820 0.410 0.500
17 W 0.169 0.339 0.369
18 W 0.169 0.831 0.369
19 W 0.339 0.169 0.869
20 W 0.661 0.831 0.369
21 W 0.831 0.169 0.869
22 W 0.831 0.661 0.869
23 Se 0.000 0.000 0.098
24 Se 0.000 0.000 0.598
25 N 0.333 0.667 0.028
26 N 0.333 0.667 0.641
27 N 0.667 0.333 0.141
28 N 0.667 0.333 0.528
29 O 0.085 0.542 0.414
30 O 0.124 0.249 0.858
31 O 0.124 0.876 0.858
32 O 0.125 0.249 0.539
33 O 0.125 0.875 0.539
34 O 0.202 0.405 0.232
35 O 0.202 0.798 0.232
36 O 0.249 0.124 0.358
37 O 0.249 0.125 0.039
38 O 0.405 0.202 0.732
39 O 0.458 0.542 0.414
40 O 0.458 0.915 0.414
41 O 0.542 0.085 0.914
42 O 0.542 0.458 0.914
43 O 0.595 0.798 0.232
44 O 0.751 0.875 0.539
45 O 0.751 0.876 0.858
46 O 0.798 0.202 0.732
47 O 0.798 0.595 0.732
48 O 0.875 0.125 0.039
49 O 0.875 0.751 0.039
50 O 0.876 0.124 0.358
51 O 0.876 0.751 0.358
52 O 0.915 0.458 0.914